Material: PaFeCoNi
Method: DFT, PBE
State: optimized geometry

## Properties
- Magnetic moment: 1.481 μB per formula unit
- Fermi-level density of states: 0.67 states/eV per atom
- Crystal system: orthorhombic

POSCAR file:
```
PaFeCoNi
1.0
3.7301 0.0000 0.0000
0.0000 3.8617 0.0000
0.0000 0.0000 3.9002
Pa Fe Co Ni
1 1 1 1
Direct
0.0000 0.0000 0.0000
0.5000 0.5000 0.0000
0.5000 0.0000 0.5000
0.0000 0.5000 0.5000
```

=====

Material: CeGa2Pb
Method: DFT, PBE
State: optimized geometry

## Properties
- Magnetic moment: 0.692 μB per formula unit
- Fermi-level density of states: 1.41 states/eV per atom
- Crystal system: tetragonal

POSCAR file:
```
CeGa2Pb
1.0
4.5989 0.0000 0.0000
0.0000 4.5989 0.0000
0.0000 0.0000 4.4265
Ce Ga Pb
1 2 1
Direct
0.0000 0.0000 0.0000
0.0000 0.5000 0.5000
0.5000 0.0000 0.5000
0.5000 0.5000 0.0000
```

=====

Material: LiGaSe2
Method: DFT, PBE
State: optimized geometry

## Properties
- Magnetic moment: 0.000 μB per formula unit
- Fermi-level density of states: 0.00 states/eV per atom
- Formation energy (no corrections): -735 meV/atom
- Crystal system: orthorhombic

POSCAR file:
```
LiGaSe2
1.0
8.9672 0.0000 0.0000
0.0000 3.7022 0.0000
0.0000 0.0000 12.5425
Li Ga Se
4 4 8
Direct
0.2409 0.2500 0.1490
0.2591 0.7500 0.6490
0.7409 0.2500 0.3510
0.7591 0.7500 0.8510
0.0393 0.7500 0.3873
0.4607 0.2500 0.8873
0.5393 0.7500 0.1127
0.9607 0.2500 0.6127
0.0008 0.2500 0.2560
0.1913 0.2500 0.5034
0.3087 0.7500 0.0034
0.4992 0.7500 0.7560
0.5008 0.2500 0.2440
0.6913 0.2500 0.9966
0.8087 0.7500 0.4966
0.9992 0.7500 0.7440
```

=====

Material: CuHgRh2
Method: DFT, PBE
State: optimized geometry

## Properties
- Magnetic moment: 1.206 μB per formula unit
- Fermi-level density of states: 1.58 states/eV per atom
- Crystal system: tetragonal

POSCAR file:
```
CuHgRh2
1.0
3.0504 0.0000 0.0000
0.0000 3.0504 0.0000
0.0000 0.0000 6.6318
Cu Hg Rh
1 1 2
Direct
0.0000 0.0000 0.0000
0.0000 0.0000 0.5000
0.5000 0.5000 0.2144
0.5000 0.5000 0.7856
```

=====

Material: Ti3Nb2Mo4
Method: DFT, PBE
State: optimized geometry

## Properties
- Magnetic moment: 0.000 μB per formula unit
- Fermi-level density of states: 1.03 states/eV per atom
- Crystal system: orthorhombic

POSCAR file:
```
Ti3Nb2Mo4
1.0
4.8979 -6.3041 0.0000
4.8979 6.3041 0.0000
0.0000 0.0000 4.8962
Ti Nb Mo
6 4 8
Direct
0.0000 0.0000 0.2500
0.0000 0.0000 0.7500
0.3317 0.5307 0.0000
0.4693 0.6683 0.5000
0.5307 0.3317 0.5000
0.6683 0.4693 0.0000
0.1358 0.6829 0.5000
0.3171 0.8642 0.0000
0.6829 0.1358 0.0000
0.8642 0.3171 0.5000
0.0258 0.3448 0.0000
0.2039 0.3337 0.5000
0.3337 0.2039 0.0000
0.3448 0.0258 0.5000
0.6552 0.9742 0.5000
0.6663 0.7961 0.0000
0.7961 0.6663 0.5000
0.9742 0.6552 0.0000
```

=====

Material: BaCe2NbN4
Method: DFT, PBE
State: optimized geometry

## Properties
- Magnetic moment: 1.873 μB per formula unit
- Fermi-level density of states: 1.29 states/eV per atom
- Formation energy (no corrections): -1107 meV/atom
- Crystal system: orthorhombic

POSCAR file:
```
BaCe2NbN4
1.0
1.7975 -6.3801 0.0000
1.7975 6.3801 0.0000
0.0000 0.0000 12.4261
Ba Ce Nb N
2 4 2 8
Direct
0.0879 0.9121 0.7500
0.9121 0.0879 0.2500
0.3705 0.6295 0.5376
0.3705 0.6295 0.9624
0.6295 0.3705 0.0376
0.6295 0.3705 0.4624
0.1735 0.8265 0.2500
0.8265 0.1735 0.7500
0.0000 0.0000 0.0000
0.0000 0.0000 0.5000
0.2550 0.7450 0.1158
0.2550 0.7450 0.3842
0.4083 0.5917 0.7500
0.5917 0.4083 0.2500
0.7450 0.2550 0.6158
0.7450 0.2550 0.8842
```

=====

Material: CdP2Os
Method: DFT, PBE
State: optimized geometry

## Properties
- Offset from the most stable computed form: 287.5 meV/atom
- Magnetic moment: 0.000 μB per formula unit
- Fermi-level density of states: 0.49 states/eV per atom
- Crystal system: orthorhombic

POSCAR file:
```
CdP2Os
1.0
-1.4678 2.4286 5.3048
1.4678 -2.4286 5.3048
1.4678 2.4286 -5.3048
Cd P Os
1 2 1
Direct
0.0000 0.0000 0.0000
0.3238 0.8238 0.5000
0.6762 0.1762 0.5000
0.5000 0.5000 0.0000
```

=====

Material: Tb6Te3AsPb2
Method: DFT, PBE
State: optimized geometry

## Properties
- Magnetic moment: 0.000 μB per formula unit
- Fermi-level density of states: 0.21 states/eV per atom
- Formation energy (no corrections): -1131 meV/atom
- Crystal system: monoclinic

POSCAR file:
```
Tb6Te3AsPb2
1.0
9.5423 -2.1847 0.0000
9.5423 2.1847 0.0000
-2.0253 0.0000 8.5439
Tb Te As Pb
6 3 1 2
Direct
0.0017 0.0017 0.2294
0.3325 0.3325 0.4228
0.3424 0.3424 0.9172
0.6576 0.6576 0.0828
0.6675 0.6675 0.5772
0.9983 0.9983 0.7706
0.1675 0.1675 0.8339
0.5000 0.5000 0.5000
0.8325 0.8325 0.1661
0.5000 0.5000 0.0000
0.1662 0.1662 0.3310
0.8338 0.8338 0.6690
```

=====

Material: Na4H4PdPt
Method: DFT, PBE
State: optimized geometry

## Properties
- Magnetic moment: 0.000 μB per formula unit
- Fermi-level density of states: 0.03 states/eV per atom
- Crystal system: tetragonal

POSCAR file:
```
Na4H4PdPt
1.0
3.5873 0.0000 0.0000
0.0000 3.5873 0.0000
0.0000 0.0000 11.1788
Na H Pd Pt
4 4 1 1
Direct
0.0000 0.0000 0.1353
0.0000 0.0000 0.8647
0.5000 0.5000 0.3588
0.5000 0.5000 0.6412
0.0000 0.0000 0.3481
0.0000 0.0000 0.6519
0.5000 0.5000 0.1499
0.5000 0.5000 0.8501
0.0000 0.0000 0.5000
0.5000 0.5000 0.0000
```

=====

Material: MgH11Rh5
Method: DFT, PBE
State: optimized geometry

## Properties
- Magnetic moment: 0.000 μB per formula unit
- Fermi-level density of states: 0.39 states/eV per atom
- Crystal system: monoclinic

POSCAR file:
```
MgH11Rh5
1.0
3.4417 -3.9189 0.0000
3.4417 3.9189 0.0000
-1.4884 0.0000 5.1441
Mg H Rh
1 11 5
Direct
0.0000 0.0000 0.0000
0.0000 0.0000 0.5000
0.1536 0.6514 0.6254
0.1729 0.4380 0.0632
0.3071 0.3071 0.6862
0.3486 0.8464 0.3746
0.4380 0.1729 0.0632
0.5620 0.8271 0.9368
0.6514 0.1536 0.6254
0.6929 0.6929 0.3138
0.8271 0.5620 0.9368
0.8464 0.3486 0.3746
0.0235 0.6408 0.2811
0.3592 0.9765 0.7189
0.5000 0.5000 0.0000
0.6408 0.0235 0.2811
0.9765 0.3592 0.7189
```

=====

| no. | uncorrected energy (eV/atom) |
| --- | --- |
| 1 | -7.995 |
| 2 | -4.334 |
| 3 | -3.712 |
| 4 | -4.583 |
| 5 | -9.598 |
| 6 | -8.252 |
| 7 | -5.454 |
| 8 | -5.237 |
| 9 | -3.290 |
| 10 | -4.424 |